ZnCuTc2 | PBE | optimized geometry

energy = -46.27 eV per cell
energy relative to the elements = 742 meV per atom
SG = I-42d (122)

Geometry as extended XYZ:
```
8
Lattice="-3.487 3.487 2.478 3.487 -3.487 2.478 3.487 3.487 -2.478" Properties=species:S:1:pos:R:3 pbc="T T T"
Zn 0.000 0.000 0.000
Zn 0.000 3.487 1.239
Cu 3.487 0.000 1.239
Cu 0.000 0.000 2.478
Tc 1.743 1.870 -0.619
Tc 5.104 1.743 0.619
Tc 1.743 1.617 1.858
Tc -1.617 1.743 3.097
```